Entry from Alexandria via LeMat-Bulk: crystalline Rb3Zn2Sn5 at its relaxed geometry (GGA-PBE).

Computed properties:
space group = Ibam
VASP energy = -52.42 eV for the cell shown
energy of formation from the pure elements = -0.75 eV/f.u.
N(E_F) = 0.34 states/eV per atom

Cell lengths 7.617, 10.398, 10.398 Å; angles 65.38, 68.51, 68.51 degrees
Element x y z (fractional)
Sn: 0.127 0.501 0.246
Sn: 0.873 0.499 0.754
Zn: 0.836 0.302 0.027
Rb: 0.870 0.864 0.395
Rb: 0.750 0.000 0.000
Zn: 0.164 0.698 0.973
Rb: 0.370 0.395 0.864
Rb: 0.130 0.136 0.605
Rb: 0.250 0.000 0.000
Zn: 0.336 0.027 0.302
Sn: 0.993 0.757 0.757
Rb: 0.630 0.605 0.136
Sn: 0.493 0.757 0.757
Sn: 0.750 0.500 0.500
Zn: 0.664 0.973 0.698
Sn: 0.627 0.246 0.501
Sn: 0.250 0.500 0.500
Sn: 0.373 0.754 0.499
Sn: 0.007 0.243 0.243
Sn: 0.507 0.243 0.243